# 1
{
  "formula": "CoTc2Ni",
  "functional": "PBE",
  "state": "optimized geometry",
  "lattice_angstrom": [[4.513, -0.006, -0.014], [3.772, 2.478, -0.014], [0.672, 0.201, 4.521]],
  "species": ["Co", "Ni", "Tc", "Tc"],
  "frac_coords": [[0.497, 0.497, 0.497], [0.250, 0.250, 0.254], [0.997, 0.997, 0.014], [0.757, 0.757, 0.735]],
  "mass_density_g_cm3": 10.3,
  "formation_energy_ev_per_atom": 0.066
}



# 2
{
  "formula": "Co2TcNi",
  "functional": "PBE",
  "state": "optimized geometry",
  "lattice_angstrom": [[-6.621, -4.167, 3.017], [-5.869, -5.863, 1.217], [-4.780, -5.898, 3.560]],
  "species": ["Co", "Co", "Ni", "Tc"],
  "frac_coords": [[0.998, 0.998, 0.998], [0.502, 0.502, 0.502], [0.250, 0.250, 0.250], [0.750, 0.750, 0.750]],
  "mass_density_g_cm3": 9.6,
  "formation_energy_ev_per_atom": 0.144
}



# 3
{
  "formula": "Co2TcNi2",
  "functional": "PBE",
  "state": "optimized geometry",
  "lattice_angstrom": [[3.293, 0.000, 0.000], [0.000, 3.293, 0.000], [1.647, 1.647, 5.747]],
  "species": ["Ni", "Ni", "Co", "Co", "Tc"],
  "frac_coords": [[0.401, 0.401, 0.198], [0.599, 0.599, 0.802], [0.750, 0.250, 0.500], [0.250, 0.750, 0.500], [0.000, 0.000, 0.000]],
  "mass_density_g_cm3": 8.9,
  "formation_energy_ev_per_atom": 0.445
}



# 4
{
  "formula": "CoTc2Ni",
  "functional": "PBE",
  "state": "optimized geometry",
  "lattice_angstrom": [[-0.506, -2.341, -0.958], [2.347, -1.546, 2.538], [-3.925, -0.510, 3.319]],
  "species": ["Co", "Ni", "Tc", "Tc"],
  "frac_coords": [[0.500, 0.500, 0.250], [0.500, 0.500, 0.750], [0.000, 0.000, 0.003], [0.000, 0.000, 0.497]],
  "mass_density_g_cm3": 10.3,
  "formation_energy_ev_per_atom": 0.053
}



Number 1: total magnetic moment 0.00 μB/f.u., excess energy over the best structure of this formula in the dataset 0.1029 eV/atom, total energy -8.34 eV/atom. Number 2: total magnetic moment 2.71 μB/f.u., excess energy over the best structure of this formula in the dataset 0.0968 eV/atom, total energy -7.45 eV/atom. Number 3: total magnetic moment 5.28 μB/f.u., excess energy over the best structure of this formula in the dataset 0.2467 eV/atom, total energy -6.78 eV/atom. Number 4: total magnetic moment 0.76 μB/f.u., excess energy over the best structure of this formula in the dataset 0.0903 eV/atom, total energy -8.35 eV/atom.